A geometry-optimized PrTe2P structure, computed with PBE.

```
PrTe2P
1.0
3.9685 0.0000 0.0000
1.9842 3.4368 0.0000
1.9842 1.1456 9.4083
Pr Te P
1 2 1
Direct
0.0000 0.0000 0.0000
0.1107 0.1107 0.6680
0.8893 0.8893 0.3320
0.5000 0.5000 0.5000
```

Properties
As for the calculated total energy: -4.110 eV per atom. The value obtained for the energy relative to the elements, uncorrected is 0.03 eV/f.u.